The following is a PBE+U calculation of a geometry-optimized TlCrBO4 structure, from Alexandria.

Its crystal system is orthorhombic. The total energy comes out at -6.40 eV/atom. The size of the total moment comes out at 3.93 μB/f.u.

It has space group Imma (No. 74), with a = 5.9435 Å, b = 6.1975 Å, c = 8.1013 Å, α = 90.00°, β = 90.00° and γ = 90.00°. Symmetry generates all atoms from Tl at (0.0000, 0.0000, 0.0000), Cr at (0.2500, 0.2500, 0.2500), B at (0.0000, 0.2500, 0.6236), O at (0.0000, 0.0432, 0.7206) and O at (0.2066, 0.2500, 0.5020).